Version w
## Ta3Mo (PBEsol)

Data for Ta3Mo after structural relaxation.

Results
Symmetry: Immm

a b c (Å): 5.3791 5.3791 5.3791
angles (deg): 145.23 129.40 62.86
Fractional positions:
Ta: 0.0000 0.0000 0.0000
Ta: 0.2602 0.7602 0.5000
Ta: 0.7398 0.2398 0.5000
Mo: 0.5000 0.5000 0.0000


Version x
## Ta3Mo (PBEsol)

Data for Ta3Mo after structural relaxation.

Results
Symmetry: P2_1/m

a b c (Å): 2.8251 4.5886 10.4949
angles (deg): 90.00 94.36 90.00
Fractional positions:
Ta: 0.0545 0.2500 0.1937
Ta: 0.3136 0.2500 0.9362
Ta: 0.4442 0.7500 0.3203
Ta: 0.5558 0.2500 0.6797
Ta: 0.6864 0.7500 0.0638
Ta: 0.9455 0.7500 0.8063
Mo: 0.1824 0.7500 0.5601
Mo: 0.8176 0.2500 0.4399


From most stable to least stable, the computed energies give version w, version x.


Version w
## Ta2Mo5 (PBEsol)

Data for Ta2Mo5 after structural relaxation.

Results
Symmetry: P-1

a b c (Å): 2.7537 6.8781 6.8836
angles (deg): 118.16 97.51 97.73
Fractional positions:
Ta: 0.2082 0.3546 0.2818
Ta: 0.7918 0.6454 0.7182
Mo: 0.0725 0.7894 0.4282
Mo: 0.3607 0.9273 0.1449
Mo: 0.5000 0.5000 0.0000
Mo: 0.6393 0.0727 0.8551
Mo: 0.9275 0.2106 0.5718


Version x
## Ta2Mo5 (PBEsol)

Data for Ta2Mo5 after structural relaxation.

Results
Symmetry: I4/mmm

a b c (Å): 11.3930 11.3930 11.3930
angles (deg): 164.08 164.08 22.58
Fractional positions:
Ta: 0.2112 0.2112 0.0000
Ta: 0.7888 0.7888 0.0000
Mo: 0.0699 0.0699 0.0000
Mo: 0.3611 0.3611 0.0000
Mo: 0.5000 0.5000 0.0000
Mo: 0.6389 0.6389 0.0000
Mo: 0.9301 0.9301 0.0000


Version y
## Ta2Mo5 (PBEsol)

Data for Ta2Mo5 after structural relaxation.

Results
Symmetry: Fmmm

a b c (Å): 15.7004 15.6181 2.7586
angles (deg): 86.65 83.25 10.10
Fractional positions:
Ta: 0.0728 0.0728 0.9272
Ta: 0.9272 0.9272 0.0728
Mo: 0.2151 0.2151 0.7849
Mo: 0.3545 0.3545 0.6455
Mo: 0.5000 0.5000 0.5000
Mo: 0.6455 0.6455 0.3545
Mo: 0.7849 0.7849 0.2151


Version z
## Ta2Mo5 (PBEsol)

Data for Ta2Mo5 after structural relaxation.

Results
Symmetry: C2/m

a b c (Å): 9.3463 9.3463 2.7554
angles (deg): 95.64 95.64 27.62
Fractional positions:
Ta: 0.1419 0.1419 0.4270
Ta: 0.8581 0.8581 0.5730
Mo: 0.0000 0.0000 0.0000
Mo: 0.2857 0.2857 0.8671
Mo: 0.4293 0.4293 0.2822
Mo: 0.5707 0.5707 0.7178
Mo: 0.7143 0.7143 0.1329


From most stable to least stable, the computed energies give version z, version w, version x, version y.


Version w
## Ta2TcMo (PBEsol)

Data for Ta2TcMo after structural relaxation.

Results
Symmetry: P2/m

a b c (Å): 2.7950 4.3926 5.2834
angles (deg): 90.00 99.11 90.00
Fractional positions:
Ta: 0.2502 0.0000 0.2489
Ta: 0.7498 0.0000 0.7511
Tc: 0.5000 0.5000 0.0000
Mo: 0.0000 0.5000 0.5000


Version x
## Ta2TcMo (PBEsol)

Data for Ta2TcMo after structural relaxation.

Results
Symmetry: Pmmm

a b c (Å): 3.1789 4.3948 4.5837
angles (deg): 90.00 90.00 90.00
Fractional positions:
Ta: 0.0000 0.0000 0.0000
Ta: 0.5000 0.0000 0.5000
Tc: 0.0000 0.5000 0.5000
Mo: 0.5000 0.5000 0.0000


From most stable to least stable, the computed energies give version x, version w.


Version w
## Ta2TcMo (PBEsol)

Data for Ta2TcMo after structural relaxation.

Results
Symmetry: Imm2

a b c (Å): 5.3009 5.3009 5.3009
angles (deg): 145.23 130.34 62.04
Fractional positions:
Ta: 0.0000 0.0000 0.0000
Ta: 0.7408 0.2408 0.5000
Tc: 0.4937 0.4937 0.0000
Mo: 0.2494 0.7494 0.5000


Version x
## Ta2TcMo (PBEsol)

Data for Ta2TcMo after structural relaxation.

Results
Symmetry: Fm-3m

a b c (Å): 4.4848 4.4848 4.4848
angles (deg): 60.00 60.00 60.00
Fractional positions:
Ta: 0.2500 0.2500 0.2500
Ta: 0.7500 0.7500 0.7500
Tc: 0.0000 0.0000 0.0000
Mo: 0.5000 0.5000 0.5000


Version y
## Ta2TcMo (PBEsol)

Data for Ta2TcMo after structural relaxation.

Results
Symmetry: Cmm2

a b c (Å): 2.7853 2.7853 8.8566
angles (deg): 90.00 90.00 110.49
Fractional positions:
Ta: 0.0000 0.0000 0.0000
Ta: 0.5000 0.5000 0.2677
Tc: 0.5000 0.5000 0.7572
Mo: 0.0000 0.0000 0.5206


From most stable to least stable, the computed energies give version x, version w, version y.


Version w
## Ta2TlMo (PBEsol)

Data for Ta2TlMo after structural relaxation.

Results
Symmetry: R-3m

a b c (Å): 9.0248 9.0248 9.0248
angles (deg): 19.95 19.95 19.95
Fractional positions:
Ta: 0.2405 0.2405 0.2405
Ta: 0.7595 0.7595 0.7595
Tl: 0.0000 0.0000 0.0000
Mo: 0.5000 0.5000 0.5000


Version x
## Ta2TlMo (PBEsol)

Data for Ta2TlMo after structural relaxation.

Results
Symmetry: P4/mmm

a b c (Å): 3.3615 3.3615 6.3388
angles (deg): 90.00 90.00 90.00
Fractional positions:
Ta: 0.0000 0.0000 0.2232
Ta: 0.0000 0.0000 0.7768
Tl: 0.5000 0.5000 0.5000
Mo: 0.5000 0.5000 0.0000


Version y
## Ta2TlMo (PBEsol)

Data for Ta2TlMo after structural relaxation.

Results
Symmetry: I4/mmm

a b c (Å): 5.0062 5.0062 5.0062
angles (deg): 130.48 130.48 72.63
Fractional positions:
Ta: 0.2500 0.7500 0.5000
Ta: 0.7500 0.2500 0.5000
Tl: 0.0000 0.0000 0.0000
Mo: 0.5000 0.5000 0.0000


Version z
## Ta2TlMo (PBEsol)

Data for Ta2TlMo after structural relaxation.

Results
Symmetry: Pmm2

a b c (Å): 2.8763 4.2989 5.8600
angles (deg): 90.00 90.00 90.00
Fractional positions:
Ta: 0.0000 0.0000 0.0000
Ta: 0.5000 0.5000 0.2401
Tl: 0.0000 0.0000 0.5065
Mo: 0.5000 0.5000 0.7713


From most stable to least stable, the computed energies give version x, version w, version y, version z.


Version w
## TaMo2W (PBEsol)

Data for TaMo2W after structural relaxation.

Results
Symmetry: Cmm2

a b c (Å): 2.7541 2.7541 8.9138
angles (deg): 90.00 90.00 109.90
Fractional positions:
Ta: 0.0000 0.0000 0.0000
Mo: 0.0000 0.0000 0.4974
Mo: 0.5000 0.5000 0.2547
W: 0.5000 0.5000 0.7423


Version x
## TaMo2W (PBEsol)

Data for TaMo2W after structural relaxation.

Results
Symmetry: Cmmm

a b c (Å): 2.7562 2.7562 8.9032
angles (deg): 90.00 90.00 109.87
Fractional positions:
Ta: 0.0000 0.0000 0.0000
Mo: 0.5000 0.5000 0.2552
Mo: 0.5000 0.5000 0.7448
W: 0.0000 0.0000 0.5000


From most stable to least stable, the computed energies give version x, version w.


Version w
## TaMo2W (PBEsol)

Data for TaMo2W after structural relaxation.

Results
Symmetry: P4mm

a b c (Å): 3.1633 3.1633 6.3470
angles (deg): 90.00 90.00 90.00
Fractional positions:
Ta: 0.0000 0.0000 0.0000
Mo: 0.0000 0.0000 0.5024
Mo: 0.5000 0.5000 0.7462
W: 0.5000 0.5000 0.2574


Version x
## TaMo2W (PBEsol)

Data for TaMo2W after structural relaxation.

Results
Symmetry: Fm-3m

a b c (Å): 4.4751 4.4751 4.4751
angles (deg): 60.00 60.00 60.00
Fractional positions:
Ta: 0.0000 0.0000 0.0000
Mo: 0.2500 0.2500 0.2500
Mo: 0.7500 0.7500 0.7500
W: 0.5000 0.5000 0.5000


From most stable to least stable, the computed energies give version x, version w.


Version w
## TaMo2W (PBEsol)

Data for TaMo2W after structural relaxation.

Results
Symmetry: Immm

a b c (Å): 5.2450 5.2450 5.2450
angles (deg): 144.87 129.29 63.19
Fractional positions:
Ta: 0.0000 0.0000 0.0000
Mo: 0.2527 0.7527 0.5000
Mo: 0.7473 0.2473 0.5000
W: 0.5000 0.5000 0.0000


Version x
## TaMo2W (PBEsol)

Data for TaMo2W after structural relaxation.

Results
Symmetry: P4/mmm

a b c (Å): 4.4781 4.4781 3.1621
angles (deg): 90.00 90.00 90.00
Fractional positions:
Ta: 0.0000 0.0000 0.0000
Mo: 0.0000 0.5000 0.5000
Mo: 0.5000 0.0000 0.5000
W: 0.5000 0.5000 0.0000


Version y
## TaMo2W (PBEsol)

Data for TaMo2W after structural relaxation.

Results
Symmetry: Pm

a b c (Å): 2.7584 4.4690 5.2327
angles (deg): 90.00 100.27 90.00
Fractional positions:
Ta: 0.0000 0.0000 0.0000
Mo: 0.2512 0.5000 0.7503
Mo: 0.4943 0.0000 0.5001
W: 0.7389 0.5000 0.2531


From most stable to least stable, the computed energies give version x, version w, version y.


Version w
## TaMo2W (PBEsol)

Data for TaMo2W after structural relaxation.

Results
Symmetry: Pmmm

a b c (Å): 3.1654 4.4598 4.4996
angles (deg): 90.00 90.00 90.00
Fractional positions:
Ta: 0.0000 0.0000 0.0000
Mo: 0.0000 0.5000 0.5000
Mo: 0.5000 0.5000 0.0000
W: 0.5000 0.0000 0.5000


Version x
## TaMo2W (PBEsol)

Data for TaMo2W after structural relaxation.

Results
Symmetry: Imm2

a b c (Å): 5.2599 5.2599 5.2599
angles (deg): 144.99 129.77 62.70
Fractional positions:
Ta: 0.0000 0.0000 0.0000
Mo: 0.5014 0.5014 0.0000
Mo: 0.7477 0.2477 0.5000
W: 0.2548 0.7548 0.5000


Version y
## TaMo2W (PBEsol)

Data for TaMo2W after structural relaxation.

Results
Symmetry: C2/m

a b c (Å): 5.2385 5.2385 2.7492
angles (deg): 100.17 100.17 116.66
Fractional positions:
Ta: 0.0000 0.0000 0.0000
Mo: 0.0000 0.5000 0.5000
Mo: 0.5000 0.0000 0.5000
W: 0.5000 0.5000 0.0000


From most stable to least stable, the computed energies give version x, version w, version y.


Version w
## YTa2Mo (PBEsol)

Data for YTa2Mo after structural relaxation.

Results
Symmetry: Pmm2

a b c (Å): 2.7693 4.7529 5.8040
angles (deg): 90.00 90.00 90.00
Fractional positions:
Y: 0.0000 0.0000 0.0000
Ta: 0.0000 0.0000 0.4934
Ta: 0.5000 0.5000 0.7209
Mo: 0.5000 0.5000 0.2685


Version x
## YTa2Mo (PBEsol)

Data for YTa2Mo after structural relaxation.

Results
Symmetry: Immm

a b c (Å): 5.6380 5.6380 5.6380
angles (deg): 146.53 128.15 63.13
Fractional positions:
Y: 0.0000 0.0000 0.0000
Ta: 0.2769 0.7769 0.5000
Ta: 0.7231 0.2231 0.5000
Mo: 0.5000 0.5000 0.0000


From most stable to least stable, the computed energies give version x, version w.


Version w
## TaZnMo (PBEsol)

Data for TaZnMo after structural relaxation.

Results
Symmetry: Fmm2

a b c (Å): 6.9533 6.8228 2.6978
angles (deg): 81.44 76.00 22.56
Fractional positions:
Ta: 0.0000 0.0000 0.0000
Zn: 0.3321 0.3321 0.6679
Mo: 0.6722 0.6722 0.3278


Version x
## TaZnMo (PBEsol)

Data for TaZnMo after structural relaxation.

Results
Symmetry: F-43m

a b c (Å): 4.2995 4.2995 4.2995
angles (deg): 60.00 60.00 60.00
Fractional positions:
Ta: 0.0000 0.0000 0.0000
Zn: 0.5000 0.5000 0.5000
Mo: 0.2500 0.2500 0.2500


From most stable to least stable, the computed energies give version w, version x.